Below is a geometry-optimized CaEr2ZrO6 structure, with properties calculated at the GGA-PBE level.

Computed properties:
E   -83.5 eV per formula unit
ΔE_f (raw)   -3.41 eV per atom
Volume   14.188 Å³/atom
Theoretical density   6.575 Mg/m³

Cell: 5.7123 5.7123 15.0618 Å, 90.00 90.00 120.00°
Space group R3 (No. 146, hexagonal axes)
Inequivalent atoms, fractional coordinates:
Ca: 0.0000 0.0000 0.0000 x3
Er: 0.0000 0.0000 0.2185 x3
Er: 0.0000 0.0000 0.7205 x3
Zr: 0.0000 0.0000 0.5097 x3
O: 0.0130 0.3650 0.7831 x9
O: 0.0619 0.6832 0.2769 x9

Below is a geometry-optimized Mn3RuC structure, with properties calculated at the GGA-PBE level.

Computed properties:
E   -45.4 eV per formula unit
Volume   10.902 Å³/atom
E above lowest polymorph   0.0065 eV per atom
Theoretical density   8.466 Mg/m³

Cell: 2.764 2.764 7.134 Å, 90.00 90.00 90.00°
Space group P4/mmm (No. 123)
Inequivalent atoms, fractional coordinates:
Mn: 0.000 0.000 0.000 x1
Mn: 0.500 0.500 0.266 x2
Ru: 0.000 0.000 0.500 x1
C: 0.500 0.500 0.000 x1

Below is a geometry-optimized Cu3HgPd structure, with properties calculated at the GGA-PBE level.

Computed properties:
E   -12.6 eV per formula unit
Volume   21.648 Å³/atom
E above lowest polymorph   0.2969 eV per atom
Theoretical density   7.635 Mg/m³

Cell: 4.766 4.766 4.766 Å, 90.00 90.00 90.00°
Space group Pm-3m (No. 221)
Inequivalent atoms, fractional coordinates:
Cu: 0.000 0.000 0.500 x3
Hg: 0.000 0.000 0.000 x1
Pd: 0.500 0.500 0.500 x1

Below is a geometry-optimized SrAgBr3 structure, with properties calculated at the GGA-PBE level.

Computed properties:
E   -14.9 eV per formula unit
ΔE_f (raw)   -1.06 eV per atom
Volume   32.337 Å³/atom
E above lowest polymorph   0.3272 eV per atom
Theoretical density   4.470 Mg/m³

Cell: 5.448 5.448 5.448 Å, 90.00 90.00 90.00°
Space group Pm-3m (No. 221)
Inequivalent atoms, fractional coordinates:
Sr: 0.000 0.000 0.000 x1
Ag: 0.500 0.500 0.500 x1
Br: 0.000 0.500 0.500 x3

Below is a geometry-optimized Ni2RuSe structure, with properties calculated at the GGA-PBE level.

Computed properties:
E   -23.0 eV per formula unit
ΔE_f (raw)   0.34 eV per atom
Volume   13.301 Å³/atom
Theoretical density   9.283 Mg/m³

Cell: 3.663 3.663 7.932 Å, 90.00 90.00 90.00°
Space group I4/mmm (No. 139)
Inequivalent atoms, fractional coordinates:
Ni: 0.000 0.500 0.250 x4
Ru: 0.000 0.000 0.000 x2
Se: 0.000 0.000 0.500 x2

Below is a geometry-optimized Ta2InPt structure, with properties calculated at the GGA-PBE level.

Computed properties:
E   -32.5 eV per formula unit
Volume   18.301 Å³/atom
Theoretical density   15.239 Mg/m³

Cell: 2.9583 2.9583 28.9757 Å, 90.00 90.00 120.00°
Space group R-3m (No. 166, hexagonal axes)
Inequivalent atoms, fractional coordinates:
Ta: 0.0000 0.0000 0.2456 x6
In: 0.0000 0.0000 0.0000 x3
Pt: 0.0000 0.0000 0.5000 x3

Below is a geometry-optimized MgMnOsRu structure, with properties calculated at the GGA-PBE level.

Computed properties:
E   -30.1 eV per formula unit
Volume   13.770 Å³/atom
Theoretical density   11.171 Mg/m³

Cell: 6.040 6.040 6.040 Å, 90.00 90.00 90.00°
Space group F-43m (No. 216)
Inequivalent atoms, fractional coordinates:
Mg: 0.000 0.000 0.000 x4
Mn: 0.250 0.250 0.250 x4
Os: 0.000 0.000 0.500 x4
Ru: 0.250 0.250 0.750 x4

Below is a geometry-optimized MgZn3Rh2 structure, with properties calculated at the GGA-PBE level.

Computed properties:
E   -22.5 eV per formula unit
Volume   14.559 Å³/atom
Theoretical density   8.105 Mg/m³

Cell: 5.315 4.077 8.072 Å, 90.00 92.82 90.00°
Space group P2_1/m (No. 11)
Inequivalent atoms, fractional coordinates:
Mg: 0.118 0.250 0.278 x2
Zn: 0.148 0.250 0.939 x2
Zn: 0.351 0.750 0.448 x2
Zn: 0.382 0.750 0.782 x2
Rh: 0.156 0.250 0.617 x2
Rh: 0.358 0.750 0.116 x2

Below is a geometry-optimized CaP3Rh structure, with properties calculated at the GGA-PBE level.

Computed properties:
E   -25.5 eV per formula unit
Volume   20.676 Å³/atom
E above lowest polymorph   0.0000 eV per atom
Theoretical density   3.789 Mg/m³

Cell: 4.693 4.693 4.693 Å, 90.00 90.00 90.00°
Space group Pm-3m (No. 221)
Inequivalent atoms, fractional coordinates:
Ca: 0.000 0.000 0.000 x1
P: 0.000 0.500 0.500 x3
Rh: 0.500 0.500 0.500 x1

Below is a geometry-optimized Nd2Ho3Sc2 structure, with properties calculated at the GGA-PBE level.

Computed properties:
E   -35.7 eV per formula unit
Volume   30.348 Å³/atom
E above lowest polymorph   0.0000 eV per atom
Theoretical density   6.825 Mg/m³

Cell: 5.214 23.450 3.475 Å, 90.00 90.00 90.00°
Space group Cmmm (No. 65)
Inequivalent atoms, fractional coordinates:
Nd: 0.000 0.076 0.000 x4
Ho: 0.000 0.342 0.500 x4
Ho: 0.000 0.500 0.500 x2
Sc: 0.000 0.217 0.000 x4

Below is a geometry-optimized CsKCd2As structure, with properties calculated at the GGA-PBE level.

Computed properties:
E   -8.1 eV per formula unit
Volume   43.156 Å³/atom
Theoretical density   3.630 Mg/m³

Cell: 5.630 5.630 6.807 Å, 90.00 90.00 90.00°
Space group P4/mmm (No. 123)
Inequivalent atoms, fractional coordinates:
Cs: 0.000 0.000 0.000 x1
K: 0.500 0.500 0.000 x1
Cd: 0.000 0.500 0.500 x2
As: 0.000 0.000 0.500 x1

Below is a geometry-optimized BiPd3Se structure, with properties calculated at the GGA-PBE level.

Computed properties:
E   -24.0 eV per formula unit
ΔE_f (raw)   -0.22 eV per atom
Volume   20.233 Å³/atom
E above lowest polymorph   0.0000 eV per atom
Theoretical density   9.967 Mg/m³

Cell: 11.549 10.491 6.680 Å, 90.00 90.89 90.00°
Space group C2/c (No. 15)
Inequivalent atoms, fractional coordinates:
Bi: 0.170 0.097 0.247 x8
Pd: 0.099 0.417 0.589 x8
Pd: 0.144 0.321 0.993 x8
Pd: 0.208 0.159 0.650 x8
Se: 0.000 0.209 0.750 x4
Se: 0.000 0.386 0.250 x4

Below is a geometry-optimized Ba3BiRh2O9 structure, with properties calculated at the GGA-PBE level.

Computed properties:
E   -93.3 eV per formula unit
ΔE_f (raw)   -1.62 eV per atom
Volume   14.869 Å³/atom
Theoretical density   7.228 Mg/m³

Cell: 5.9350 5.9350 7.3112 Å, 90.00 90.00 120.00°
Space group P-3m1 (No. 164)
Inequivalent atoms, fractional coordinates:
Ba: 0.0000 0.0000 0.0000 x1
Ba: 0.3333 0.6667 0.6760 x2
Bi: 0.0000 0.0000 0.5000 x1
Rh: 0.3333 0.6667 0.1544 x2
O: 0.0000 0.5000 0.0000 x3
O: 0.1773 0.3546 0.3169 x6

Below is a geometry-optimized TaAuSe2 structure, with properties calculated at the GGA-PBE level.

Computed properties:
E   -21.1 eV per formula unit
ΔE_f (raw)   0.24 eV per atom
Volume   22.143 Å³/atom
E above lowest polymorph   0.6591 eV per atom
Theoretical density   10.046 Mg/m³

Cell: 6.606 8.054 3.330 Å, 90.00 90.00 90.00°
Space group Cmmm (No. 65)
Inequivalent atoms, fractional coordinates:
Ta: 0.000 0.000 0.000 x2
Au: 0.000 0.500 0.000 x2
Se: 0.250 0.250 0.000 x4

Below is a geometry-optimized NpPaV2 structure, with properties calculated at the GGA-PBE level.

Computed properties:
E   -38.1 eV per formula unit
Volume   18.272 Å³/atom
E above lowest polymorph   0.2438 eV per atom
Theoretical density   12.948 Mg/m³

Cell: 2.8578 2.8578 31.0006 Å, 90.00 90.00 120.00°
Space group R-3m (No. 166, hexagonal axes)
Inequivalent atoms, fractional coordinates:
Np: 0.0000 0.0000 0.0000 x3
Pa: 0.0000 0.0000 0.5000 x3
V: 0.0000 0.0000 0.0827 x6

Below is a geometry-optimized KMg2As structure, with properties calculated at the GGA-PBE level.

Computed properties:
E   -9.1 eV per formula unit
Volume   28.230 Å³/atom
Theoretical density   2.392 Mg/m³

Cell: 3.182 3.924 9.042 Å, 90.00 90.00 90.00°
Space group Pmmm (No. 47)
Inequivalent atoms, fractional coordinates:
K: 0.000 0.000 0.000 x1
Mg: 0.500 0.500 0.331 x2
As: 0.000 0.000 0.500 x1

Below is a geometry-optimized As5C3 structure, with properties calculated at the GGA-PBE level.

Computed properties:
E   -39.8 eV per formula unit
Volume   14.843 Å³/atom
E above lowest polymorph   0.4491 eV per atom
Theoretical density   5.743 Mg/m³

Cell: 2.965 2.965 13.512 Å, 90.00 90.00 90.00°
Space group P4/mmm (No. 123)
Inequivalent atoms, fractional coordinates:
As: 0.000 0.000 0.000 x1
As: 0.000 0.000 0.202 x2
As: 0.500 0.500 0.399 x2
C: 0.000 0.000 0.500 x1
C: 0.500 0.500 0.247 x2

Below is a geometry-optimized AcPr2F structure, with properties calculated at the GGA-PBE level.

Computed properties:
E   -19.4 eV per formula unit
ΔE_f (raw)   -0.96 eV per atom
Volume   32.273 Å³/atom
Theoretical density   6.789 Mg/m³

Cell: 3.8602 3.8602 30.0098 Å, 90.00 90.00 120.00°
Space group R-3m (No. 166, hexagonal axes)
Inequivalent atoms, fractional coordinates:
Ac: 0.0000 0.0000 0.0000 x3
Pr: 0.0000 0.0000 0.1203 x6
F: 0.0000 0.0000 0.5000 x3

Below is a geometry-optimized Lu2AgP structure, with properties calculated at the GGA-PBE level.

Computed properties:
E   -20.5 eV per formula unit
Volume   23.124 Å³/atom
Theoretical density   8.775 Mg/m³

Cell: 3.8402 3.8402 21.7271 Å, 90.00 90.00 120.00°
Space group R-3m (No. 166, hexagonal axes)
Inequivalent atoms, fractional coordinates:
Lu: 0.0000 0.0000 0.2391 x6
Ag: 0.0000 0.0000 0.0000 x3
P: 0.0000 0.0000 0.5000 x3

Below is a geometry-optimized Pr3BiP2Rh9 structure, with properties calculated at the GGA-PBE level.

Computed properties:
E   -103.9 eV per formula unit
Volume   20.450 Å³/atom
Theoretical density   8.769 Mg/m³

Cell: 6.1210 6.1210 9.4538 Å, 90.00 90.00 120.00°
Space group P-3m1 (No. 164)
Inequivalent atoms, fractional coordinates:
Pr: 0.0000 0.0000 0.0000 x1
Pr: 0.3333 0.6667 0.7101 x2
Bi: 0.0000 0.0000 0.5000 x1
P: 0.3333 0.6667 0.1555 x2
Rh: 0.0000 0.5000 0.0000 x3
Rh: 0.1530 0.3060 0.2691 x6

Below is a geometry-optimized NaMnCuS3 structure, with properties calculated at the GGA-PBE level.

Computed properties:
E   -30.7 eV per formula unit
ΔE_f (raw)   -0.62 eV per atom
Volume   17.926 Å³/atom
Theoretical density   3.669 Mg/m³

Cell: 7.348 3.543 8.702 Å, 90.00 108.29 90.00°
Space group P2_1/m (No. 11)
Inequivalent atoms, fractional coordinates:
Na: 0.240 0.250 0.280 x2
Mn: 0.321 0.750 0.847 x2
Cu: 0.079 0.250 0.604 x2
S: 0.113 0.250 0.870 x2
S: 0.258 0.750 0.561 x2
S: 0.453 0.750 0.132 x2

Below is a geometry-optimized AcHg2RhO6 structure, with properties calculated at the GGA-PBE level.

Computed properties:
E   -52.7 eV per formula unit
ΔE_f (raw)   -1.09 eV per atom
Volume   14.752 Å³/atom
Theoretical density   9.310 Mg/m³

Cell: 5.897 5.913 10.227 Å, 90.00 124.17 90.00°
Space group P2_1/c (No. 14)
Inequivalent atoms, fractional coordinates:
Ac: 0.000 0.000 0.000 x2
Hg: 0.243 0.032 0.743 x4
Rh: 0.500 0.000 0.500 x2
O: 0.180 0.094 0.284 x4
O: 0.251 0.651 0.041 x4
O: 0.435 0.218 0.080 x4

Below is a geometry-optimized TaMnOs structure, with properties calculated at the GGA-PBE level.

Computed properties:
E   -32.3 eV per formula unit
Volume   15.136 Å³/atom
E above lowest polymorph   0.0136 eV per atom
Theoretical density   15.583 Mg/m³

Cell: 4.3636 4.3636 2.7535 Å, 90.00 90.00 120.00°
Space group P3m1 (No. 156)
Inequivalent atoms, fractional coordinates:
Ta: 0.0000 0.0000 0.0000 x1
Mn: 0.6667 0.3333 0.3231 x1
Os: 0.3333 0.6667 0.6773 x1

Below is a geometry-optimized K4Dy3SbSe8 structure, with properties calculated at the GGA-PBE level.

Computed properties:
E   -74.2 eV per formula unit
ΔE_f (raw)   -1.50 eV per atom
Volume   29.679 Å³/atom
Theoretical density   4.886 Mg/m³

Cell: 8.4558 8.4558 23.0064 Å, 90.00 90.00 120.00°
Space group R-3m (No. 166, hexagonal axes)
Inequivalent atoms, fractional coordinates:
K: 0.0000 0.0000 0.0000 x3
K: 0.0000 0.5000 0.0000 x9
Dy: 0.0000 0.5000 0.5000 x9
Sb: 0.0000 0.0000 0.5000 x3
Se: 0.0000 0.0000 0.2350 x6
Se: 0.0016 0.5008 0.7651 x18

Below is a geometry-optimized HfCdCuIr structure, with properties calculated at the GGA-PBE level.

Computed properties:
E   -25.0 eV per formula unit
Volume   16.941 Å³/atom
Theoretical density   13.396 Mg/m³

Cell: 6.472 6.472 6.472 Å, 90.00 90.00 90.00°
Space group F-43m (No. 216)
Inequivalent atoms, fractional coordinates:
Hf: 0.000 0.000 0.000 x4
Cd: 0.000 0.000 0.500 x4
Cu: 0.250 0.250 0.250 x4
Ir: 0.250 0.250 0.750 x4